DFT (PBE-GGA) results for a relaxed structure of Sr2YTl.

Values from the calculation:
- excess energy over the best structure of this formula in the dataset (meV/atom) = 106
- energy of formation (eV/f.u.) = -0.1
- mass density (g/cm3) = 5.246
- size of the total moment (μB per formula unit) = 0.38

POSCAR file:
```
Sr2YTl
1.0
7.128 0.000 -0.018
3.632 6.134 0.018
-4.887 -3.932 3.387
Sr Tl Y
2 1 1
Cartesian
0.395 0.225 0.000 Sr
4.985 2.842 0.000 Sr
2.063 2.634 1.702 Tl
3.811 -0.432 1.684 Y
```